# YHoAl4Co2

An optimized crystal structure of YHoAl4Co2 (PBE-GGA, OQMD via LeMat-Bulk).

Lattice parameters (Å, degrees): 6.984 5.409 5.409 43.44 90.00 90.00
Fractional coordinates of all 8 atoms:
Y 0.000 0.000 0.000
Ho 0.500 0.119 0.119
Al 0.194 0.721 0.721
Al 0.306 0.398 0.398
Al 0.694 0.398 0.398
Al 0.806 0.721 0.721
Co 0.000 0.276 0.276
Co 0.500 0.843 0.843

Mass density = 5.67 Mg/m³
Total energy = -5.57 eV per atom
SG = Amm2 (38)